The following is a DFT calculation (PBE+U) of an optimized crystal structure of Rb2ReMoF6.

Its calculated density is 5.26 g cm⁻³. The calculation puts the total energy at -5.06 eV/atom. The total moment comes out at 5.11 μB/cell. As for the space group: I4/mmm (139).

POSCAR file:
```
Rb2ReMoF6
1.0
6.154 0.000 0.000
0.000 6.154 0.000
3.077 3.077 4.723
F Rb Mo Re
6 2 1 1
Direct
0.776 0.776 0.448
0.251 0.749 0.000
0.224 0.224 0.552
0.251 0.251 0.000
0.749 0.749 0.000
0.749 0.251 0.000
0.750 0.250 0.500
0.250 0.750 0.500
0.500 0.500 0.000
0.000 0.000 0.000
```